(1)
Below is PrPN3 after structural relaxation, with properties calculated at the PBE level.

Lattice parameters (Å, degrees): 2.976 7.216 6.187 90.00 103.92 90.00
Space group P2_1/m (No. 11)
Inequivalent atoms, fractional coordinates:
1 Pr 0.204 0.250 0.406 [2 per cell]
2 P 0.065 0.750 0.131 [2 per cell]
3 N 0.154 0.580 0.309 [4 per cell]
4 N 0.484 0.750 0.970 [2 per cell]

Energy ... -73.2 eV/cell
Uncorrected formation energy ... -0.287 eV/atom
Calculated volume ... 12.897 Å³/atom
Theoretical density ... 5.51 g cm⁻³

***

(2)
Below is CaCuTe2 after structural relaxation, with properties calculated at the PBE level.

Lattice parameters (Å, degrees): 5.029 5.029 3.952 90.00 90.00 90.00
Space group P4/mmm (No. 123)
Inequivalent atoms, fractional coordinates:
1 Ca 0.000 0.000 0.000 [1 per cell]
2 Cu 0.500 0.500 0.000 [1 per cell]
3 Te 0.000 0.500 0.500 [2 per cell]

Energy ... -14.1 eV/cell
Uncorrected formation energy ... -0.426 eV/atom
Calculated volume ... 24.989 Å³/atom
Theoretical density ... 5.96 g cm⁻³

***

(3)
Below is ZrAgBi3 after structural relaxation, with properties calculated at the PBE level.

Lattice parameters (Å, degrees): 5.433 5.433 5.433 90.00 90.00 90.00
Space group Pm-3m (No. 221)
Inequivalent atoms, fractional coordinates:
1 Zr 0.000 0.000 0.000 [1 per cell]
2 Ag 0.500 0.500 0.500 [1 per cell]
3 Bi 0.000 0.500 0.500 [3 per cell]

Energy ... -19.3 eV/cell
Energy relative to the elements ... 0.739 eV/atom
Calculated volume ... 32.077 Å³/atom
Theoretical density ... 8.55 g cm⁻³
Relative energy among the computed polymorphs ... 0.294 eV/atom

***

(4)
Below is Tl3BiOs2O9 after structural relaxation, with properties calculated at the PBE level.

Lattice parameters (Å, degrees): 5.8469 5.8469 7.2982 90.00 90.00 120.00
Space group P-3m1 (No. 164)
Inequivalent atoms, fractional coordinates:
1 Tl 0.0000 0.0000 0.0000 [1 per cell]
2 Tl 0.3333 0.6667 0.6495 [2 per cell]
3 Bi 0.0000 0.0000 0.5000 [1 per cell]
4 Os 0.3333 0.6667 0.1462 [2 per cell]
5 O 0.0000 0.5000 0.0000 [3 per cell]
6 O 0.1817 0.3633 0.3010 [6 per cell]

Energy ... -91.2 eV/cell
Uncorrected formation energy ... -0.875 eV/atom
Calculated volume ... 14.405 Å³/atom
Theoretical density ... 10.35 g cm⁻³

***

(5)
Below is Sc2PtRh after structural relaxation, with properties calculated at the PBE level.

Lattice parameters (Å, degrees): 6.493 6.493 6.493 90.00 90.00 90.00
Space group F-43m (No. 216)
Inequivalent atoms, fractional coordinates:
1 Sc 0.000 0.000 0.000 [4 per cell]
2 Sc 0.250 0.250 0.250 [4 per cell]
3 Pt 0.250 0.250 0.750 [4 per cell]
4 Rh 0.000 0.000 0.500 [4 per cell]

Energy ... -114.9 eV/cell
Energy relative to the elements ... -0.669 eV/atom
Calculated volume ... 17.106 Å³/atom
Theoretical density ... 9.41 g cm⁻³

***

(6)
Below is Cr2Tc2Ni7 after structural relaxation, with properties calculated at the PBE level.

Lattice parameters (Å, degrees): 8.427 8.129 4.374 90.00 118.48 90.00
Space group C2/m (No. 12)
Inequivalent atoms, fractional coordinates:
1 Cr 0.097 0.000 0.272 [4 per cell]
2 Tc 0.000 0.310 0.000 [4 per cell]
3 Ni 0.000 0.500 0.500 [2 per cell]
4 Ni 0.169 0.257 0.666 [8 per cell]
5 Ni 0.244 0.000 0.932 [4 per cell]

Energy ... -157.3 eV/cell
Energy relative to the elements ... 0.162 eV/atom
Calculated volume ... 11.971 Å³/atom
Theoretical density ... 8.96 g cm⁻³

***

(7)
Below is Tb5ScTl2 after structural relaxation, with properties calculated at the PBE level.

Lattice parameters (Å, degrees): 5.3360 5.3360 20.0220 90.00 90.00 120.00
Space group P6_3/mmc (No. 194)
Inequivalent atoms, fractional coordinates:
1 Tb 0.0000 0.0000 0.1637 [4 per cell]
2 Tb 0.3333 0.6667 0.0565 [4 per cell]
3 Tb 0.3333 0.6667 0.2500 [2 per cell]
4 Sc 0.3333 0.6667 0.7500 [2 per cell]
5 Tl 0.3333 0.6667 0.6016 [4 per cell]

Energy ... -69.8 eV/cell
Energy relative to the elements ... -0.086 eV/atom
Calculated volume ... 30.857 Å³/atom
Theoretical density ... 8.40 g cm⁻³

***

(8)
Below is Li2TiTeAs after structural relaxation, with properties calculated at the PBE level.

Lattice parameters (Å, degrees): 4.773 4.773 5.309 90.00 90.00 90.00
Space group P4/mmm (No. 123)
Inequivalent atoms, fractional coordinates:
1 Li 0.000 0.500 0.000 [2 per cell]
2 Ti 0.000 0.000 0.500 [1 per cell]
3 Te 0.000 0.000 0.000 [1 per cell]
4 As 0.500 0.500 0.500 [1 per cell]

Energy ... -19.6 eV/cell
Uncorrected formation energy ... -0.007 eV/atom
Calculated volume ... 24.192 Å³/atom
Theoretical density ... 3.63 g cm⁻³

***

(9)
Below is ScCuGe2S6 after structural relaxation, with properties calculated at the PBE level.

Lattice parameters (Å, degrees): 12.465 11.472 6.423 90.00 108.88 90.00
Space group C2/c (No. 15)
Inequivalent atoms, fractional coordinates:
1 Sc 0.000 0.122 0.250 [4 per cell]
2 Cu 0.000 0.204 0.750 [4 per cell]
3 Ge 0.193 0.420 0.242 [8 per cell]
4 S 0.114 0.066 0.645 [8 per cell]
5 S 0.125 0.425 0.527 [8 per cell]
6 S 0.128 0.246 0.095 [8 per cell]

Energy ... -202.7 eV/cell
Uncorrected formation energy ... -0.626 eV/atom
Calculated volume ... 21.726 Å³/atom
Theoretical density ... 3.41 g cm⁻³

***

(10)
Below is UPaFe after structural relaxation, with properties calculated at the PBE level.

Lattice parameters (Å, degrees): 3.649 3.649 8.584 90.00 90.00 90.00
Space group P4/nmm (No. 129, origin choice 2)
Inequivalent atoms, fractional coordinates:
1 U 0.250 0.750 0.000 [2 per cell]
2 Pa 0.250 0.250 0.345 [2 per cell]
3 Fe 0.250 0.250 0.697 [2 per cell]

Energy ... -58.6 eV/cell
Energy relative to the elements ... -0.025 eV/atom
Calculated volume ... 19.053 Å³/atom
Theoretical density ... 15.25 g cm⁻³
Relative energy among the computed polymorphs ... 0.000 eV/atom

***

(11)
Below is Cs3H8Ir after structural relaxation, with properties calculated at the PBE level.

Lattice parameters (Å, degrees): 7.048 7.048 8.372 90.00 90.00 90.00
Space group I-42m (No. 121)
Inequivalent atoms, fractional coordinates:
1 Cs 0.000 0.000 0.000 [2 per cell]
2 Cs 0.000 0.500 0.250 [4 per cell]
3 H 0.109 0.109 0.653 [8 per cell]
4 H 0.163 0.163 0.435 [8 per cell]
5 Ir 0.000 0.000 0.500 [2 per cell]

Energy ... -78.1 eV/cell
Calculated volume ... 17.328 Å³/atom
Theoretical density ... 4.78 g cm⁻³

***

(12)
Below is PaZn2Ir after structural relaxation, with properties calculated at the PBE level.

Lattice parameters (Å, degrees): 2.8796 2.8796 31.0748 90.00 90.00 120.00
Space group R-3m (No. 166, hexagonal axes)
Inequivalent atoms, fractional coordinates:
1 Pa 0.0000 0.0000 0.0000 [3 per cell]
2 Zn 0.0000 0.0000 0.1001 [6 per cell]
3 Ir 0.0000 0.0000 0.5000 [3 per cell]

Energy ... -59.8 eV/cell
Energy relative to the elements ... 0.245 eV/atom
Calculated volume ... 18.596 Å³/atom
Theoretical density ... 12.37 g cm⁻³
Relative energy among the computed polymorphs ... 0.712 eV/atom